Entry 1:
The following is a DFT calculation (PBE) of a relaxed structure of RbLaMg2Co.

Structure (CIF):
```
data_RbLaMg2Co
_chemical_formula_sum 'Rb1 La1 Mg2 Co1'
_cell_length_a 5.4043
_cell_length_b 5.4043
_cell_length_c 5.0279
_cell_angle_alpha 90.00
_cell_angle_beta 90.00
_cell_angle_gamma 90.00
_space_group_name_H-M_alt 'P 1'
_space_group_IT_number 1
_space_group_name_Hall 'P 1'
loop_
_atom_site_label
_atom_site_fract_x
_atom_site_fract_y
_atom_site_fract_z
Rb1 0.0000 0.0000 0.0000
La1 0.5000 0.5000 0.0000
Mg1 0.0000 0.5000 0.5000
Mg2 0.5000 0.0000 0.5000
Co1 0.5000 0.5000 0.5000
```

Properties
Formation enthalpy at 0 K (eV per atom): 0.086
Total magnetic moment (μB/f.u.): 0.000
Symmetry: P4/mmm
Calculated volume (Å³/cell): 147

=====

Entry 2:
The following is a DFT calculation (PBE) of a relaxed structure of Bi2C2F.

Structure (CIF):
```
data_Bi2C2F
_chemical_formula_sum 'Bi4 C4 F2'
_cell_length_a 3.6767
_cell_length_b 3.6767
_cell_length_c 13.2177
_cell_angle_alpha 90.00
_cell_angle_beta 90.00
_cell_angle_gamma 90.00
_space_group_name_H-M_alt 'P 1'
_space_group_IT_number 1
_space_group_name_Hall 'P 1'
loop_
_atom_site_label
_atom_site_fract_x
_atom_site_fract_y
_atom_site_fract_z
Bi1 0.0000 0.0000 0.1323
Bi2 0.0000 0.0000 0.8677
Bi3 0.5000 0.5000 0.3677
Bi4 0.5000 0.5000 0.6323
C1 0.0000 0.5000 0.2500
C2 0.0000 0.5000 0.7500
C3 0.5000 0.0000 0.2500
C4 0.5000 0.0000 0.7500
F1 0.0000 0.0000 0.5000
F2 0.5000 0.5000 0.0000
```

Properties
Formation energy from raw total energies (kJ/mol of formula units): 394
Total magnetic moment (μB/f.u.): 0.000
Symmetry: I4/mmm
Calculated volume (Å³/cell): 179

=====

Entry 3:
The following is a DFT calculation (PBE) of a relaxed structure of InPd4Au5.

Structure (CIF):
```
data_InPd4Au5
_chemical_formula_sum 'In1 Pd4 Au5'
_cell_length_a 4.8586
_cell_length_b 5.7667
_cell_length_c 6.6254
_cell_angle_alpha 76.02
_cell_angle_beta 74.35
_cell_angle_gamma 77.71
_space_group_name_H-M_alt 'P 1'
_space_group_IT_number 1
_space_group_name_Hall 'P 1'
loop_
_atom_site_label
_atom_site_fract_x
_atom_site_fract_y
_atom_site_fract_z
In1 0.0000 0.0000 0.0000
Pd1 0.1952 0.2958 0.6049
Pd2 0.3994 0.1003 0.1969
Pd3 0.6006 0.8997 0.8031
Pd4 0.8048 0.7042 0.3951
Au1 0.0000 0.5000 0.0000
Au2 0.2048 0.8016 0.5932
Au3 0.4022 0.5966 0.2053
Au4 0.5978 0.4034 0.7947
Au5 0.7952 0.1984 0.4068
```

Properties
Formation enthalpy at 0 K (eV per atom): -0.209
Total magnetic moment (μB/f.u.): 0.000
Symmetry: P-1
Calculated volume (Å³/cell): 171

=====

Entry 4:
The following is a DFT calculation (PBE) of a relaxed structure of Cs2SiMoBr6.

Structure (CIF):
```
data_Cs2SiMoBr6
_chemical_formula_sum 'Cs2 Si1 Mo1 Br6'
_cell_length_a 7.7916
_cell_length_b 7.7916
_cell_length_c 7.7916
_cell_angle_alpha 120.08
_cell_angle_beta 120.08
_cell_angle_gamma 89.87
_space_group_name_H-M_alt 'P 1'
_space_group_IT_number 1
_space_group_name_Hall 'P 1'
loop_
_atom_site_label
_atom_site_fract_x
_atom_site_fract_y
_atom_site_fract_z
Cs1 0.2500 0.7500 0.5000
Cs2 0.7500 0.2500 0.5000
Si1 0.0000 0.0000 0.0000
Mo1 0.5000 0.5000 0.0000
Br1 0.2536 0.2536 0.0000
Br2 0.2538 0.2538 0.5076
Br3 0.2538 0.7462 0.0000
Br4 0.7462 0.2538 0.0000
Br5 0.7464 0.7464 0.0000
Br6 0.7462 0.7462 0.4924
```

Properties
Formation energy from raw total energies (kJ/mol of formula units): -804
Total magnetic moment (μB/f.u.): 4.000
Symmetry: I4/mmm
Calculated volume (Å³/cell): 334

=====

Entry 5:
The following is a DFT calculation (PBE) of a relaxed structure of KTlFeI4.

Structure (CIF):
```
data_KTlFeI4
_chemical_formula_sum 'K2 Tl2 Fe2 I8'
_cell_length_a 8.3351
_cell_length_b 8.3351
_cell_length_c 12.0670
_cell_angle_alpha 90.00
_cell_angle_beta 90.00
_cell_angle_gamma 90.00
_space_group_name_H-M_alt 'P 1'
_space_group_IT_number 1
_space_group_name_Hall 'P 1'
loop_
_atom_site_label
_atom_site_fract_x
_atom_site_fract_y
_atom_site_fract_z
K1 0.0000 0.0000 0.0000
K2 0.5000 0.5000 0.5000
Tl1 0.0000 0.0000 0.5000
Tl2 0.5000 0.5000 0.0000
Fe1 0.0000 0.5000 0.2500
Fe2 0.5000 0.0000 0.7500
I1 0.1881 0.6940 0.3630
I2 0.1940 0.3119 0.1370
I3 0.3060 0.1881 0.6370
I4 0.3119 0.8060 0.8630
I5 0.6881 0.1940 0.8630
I6 0.6940 0.8119 0.6370
I7 0.8060 0.6881 0.1370
I8 0.8119 0.3060 0.3630
```

Properties
Formation energy from raw total energies (kJ/mol of formula units): -412
Total magnetic moment (μB/f.u.): 4.000
Symmetry: I-4
Calculated volume (Å³/cell): 838

=====

Entry 6:
The following is a DFT calculation (PBE) of a relaxed structure of CdAg2HgB.

Structure (CIF):
```
data_CdAg2HgB
_chemical_formula_sum 'Cd1 Ag2 Hg1 B1'
_cell_length_a 5.3898
_cell_length_b 5.3898
_cell_length_c 4.1168
_cell_angle_alpha 90.00
_cell_angle_beta 90.00
_cell_angle_gamma 90.00
_space_group_name_H-M_alt 'P 1'
_space_group_IT_number 1
_space_group_name_Hall 'P 1'
loop_
_atom_site_label
_atom_site_fract_x
_atom_site_fract_y
_atom_site_fract_z
Cd1 0.0000 0.0000 0.0000
Ag1 0.0000 0.5000 0.5000
Ag2 0.5000 0.0000 0.5000
Hg1 0.5000 0.5000 0.5000
B1 0.5000 0.5000 0.0000
```

Properties
Formation enthalpy at 0 K (eV per atom): 0.920
Total magnetic moment (μB/f.u.): 0.000
Symmetry: P4/mmm
Calculated volume (Å³/cell): 120

=====

Entry 7:
The following is a DFT calculation (PBE) of a relaxed structure of Rb2ZrHBr6.

Structure (CIF):
```
data_Rb2ZrHBr6
_chemical_formula_sum 'Rb2 Zr1 H1 Br6'
_cell_length_a 7.5684
_cell_length_b 7.5684
_cell_length_c 7.5684
_cell_angle_alpha 111.54
_cell_angle_beta 111.54
_cell_angle_gamma 105.41
_space_group_name_H-M_alt 'P 1'
_space_group_IT_number 1
_space_group_name_Hall 'P 1'
loop_
_atom_site_label
_atom_site_fract_x
_atom_site_fract_y
_atom_site_fract_z
Rb1 0.2500 0.7500 0.5000
Rb2 0.7500 0.2500 0.5000
Zr1 0.0000 0.0000 0.0000
H1 0.5000 0.5000 0.0000
Br1 0.2218 0.2218 0.4435
Br2 0.2218 0.7782 0.0000
Br3 0.3082 0.3082 0.0000
Br4 0.6918 0.6918 0.0000
Br5 0.7782 0.2218 0.0000
Br6 0.7782 0.7782 0.5565
```

Properties
Total DFT energy (no corrections) (eV/cell): -35.7
Total magnetic moment (μB/f.u.): 1.018
Symmetry: I4/mmm
Calculated volume (Å³/cell): 332

=====

Entry 8:
The following is a DFT calculation (PBE) of a relaxed structure of Mg2InGe2Rh5.

Structure (CIF):
```
data_Mg2InGe2Rh5
_chemical_formula_sum 'Mg4 In2 Ge4 Rh10'
_cell_length_a 9.6549
_cell_length_b 9.6549
_cell_length_c 3.5013
_cell_angle_alpha 90.00
_cell_angle_beta 90.00
_cell_angle_gamma 90.00
_space_group_name_H-M_alt 'P 1'
_space_group_IT_number 1
_space_group_name_Hall 'P 1'
loop_
_atom_site_label
_atom_site_fract_x
_atom_site_fract_y
_atom_site_fract_z
Mg1 0.1713 0.3287 0.0000
Mg2 0.3287 0.8287 0.0000
Mg3 0.6713 0.1713 0.0000
Mg4 0.8287 0.6713 0.0000
In1 0.0000 0.0000 0.0000
In2 0.5000 0.5000 0.0000
Ge1 0.1284 0.6284 0.0000
Ge2 0.3716 0.1284 0.0000
Ge3 0.6284 0.8716 0.0000
Ge4 0.8716 0.3716 0.0000
Rh1 0.0000 0.5000 0.5000
Rh2 0.0732 0.7933 0.5000
Rh3 0.2067 0.0732 0.5000
Rh4 0.2933 0.5732 0.5000
Rh5 0.4268 0.2933 0.5000
Rh6 0.5000 0.0000 0.5000
Rh7 0.5732 0.7067 0.5000
Rh8 0.7067 0.4268 0.5000
Rh9 0.7933 0.9268 0.5000
Rh10 0.9268 0.2067 0.5000
```

Properties
Formation enthalpy at 0 K (eV per atom): -0.516
Total magnetic moment (μB/f.u.): 0.000
Symmetry: P4/mbm
Calculated volume (Å³/cell): 326

=====

Entry 9:
The following is a DFT calculation (PBE) of a relaxed structure of Ho8MgCo2.

Structure (CIF):
```
data_Ho8MgCo2
_chemical_formula_sum 'Ho8 Mg1 Co2'
_cell_length_a 7.8377
_cell_length_b 7.8377
_cell_length_c 5.3500
_cell_angle_alpha 96.70
_cell_angle_beta 96.70
_cell_angle_gamma 113.97
_space_group_name_H-M_alt 'P 1'
_space_group_IT_number 1
_space_group_name_Hall 'P 1'
loop_
_atom_site_label
_atom_site_fract_x
_atom_site_fract_y
_atom_site_fract_z
Ho1 0.1089 0.1089 0.7965
Ho2 0.1678 0.4320 0.4280
Ho3 0.2454 0.7546 0.0000
Ho4 0.4320 0.1678 0.4280
Ho5 0.5680 0.8322 0.5720
Ho6 0.7546 0.2454 0.0000
Ho7 0.8322 0.5680 0.5720
Ho8 0.8911 0.8911 0.2035
Mg1 0.5000 0.5000 0.0000
Co1 0.1925 0.8075 0.5000
Co2 0.8075 0.1925 0.5000
```

Properties
Formation enthalpy at 0 K (eV per atom): -0.039
Total magnetic moment (μB/f.u.): 0.000
Symmetry: C2/m
Calculated volume (Å³/cell): 293

=====

Entry 10:
The following is a DFT calculation (PBE) of a relaxed structure of GdDyPu4.

Structure (CIF):
```
data_GdDyPu4
_chemical_formula_sum 'Gd1 Dy1 Pu4'
_cell_length_a 6.2384
_cell_length_b 6.2384
_cell_length_c 6.2384
_cell_angle_alpha 60.00
_cell_angle_beta 60.00
_cell_angle_gamma 60.00
_space_group_name_H-M_alt 'P 1'
_space_group_IT_number 1
_space_group_name_Hall 'P 1'
loop_
_atom_site_label
_atom_site_fract_x
_atom_site_fract_y
_atom_site_fract_z
Gd1 0.0000 0.0000 0.0000
Dy1 0.7500 0.7500 0.7500
Pu1 0.3753 0.3753 0.3753
Pu2 0.3753 0.3753 0.8742
Pu3 0.3753 0.8742 0.3753
Pu4 0.8742 0.3753 0.3753
```

Properties
Formation enthalpy at 0 K (eV per atom): 0.239
Total magnetic moment (μB/f.u.): 30.740
Symmetry: F-43m
Calculated volume (Å³/cell): 172